1.
Below is a relaxed structure of GaOs3Se, with properties calculated at the GGA-PBEsol level.

Properties
Space-group type: No. 221
Density, Mg/m³: 13.25
Uncorrected formation energy, eV per atom: 1.8393

a b c (Å): 4.4842 4.4842 4.4842
angles (deg): 90.00 90.00 90.00
Sites, in units of the cell vectors:
Os1 0.0000 0.5000 0.0000
Os2 0.5000 0.0000 0.0000
Os3 0.0000 0.0000 0.5000
Ga1 0.5000 0.5000 0.5000
Se1 0.0000 0.0000 0.0000

---

2.
Below is a relaxed structure of GaSn3Os, with properties calculated at the GGA-PBEsol level.

Properties
Space-group type: No. 221
Density, Mg/m³: 8.12
Formation energy, meV/atom: 1475

a b c (Å): 5.0124 5.0124 5.0124
angles (deg): 90.00 90.00 90.00
Sites, in units of the cell vectors:
Sn1 0.0000 0.5000 0.0000
Sn2 0.0000 0.0000 0.5000
Sn3 0.5000 0.0000 0.0000
Ga1 0.0000 0.0000 0.0000
Os1 0.5000 0.5000 0.5000

---

3.
Below is a relaxed structure of Ga2Sn2Os, with properties calculated at the GGA-PBEsol level.

Properties
Space-group type: No. 139
Density, Mg/m³: 9.02
Formation energy, meV/atom: 986

a b c (Å): 3.8072 3.8072 7.6854
angles (deg): 104.34 104.34 90.00
Sites, in units of the cell vectors:
Os1 0.0000 0.0000 0.0000
Ga1 0.5830 0.5830 0.1659
Ga2 0.4170 0.4170 0.8341
Sn1 0.7500 0.2500 0.5000
Sn2 0.2500 0.7500 0.5000

---

4.
Below is a relaxed structure of GaSnOs2, with properties calculated at the GGA-PBEsol level.

Properties
Space-group type: No. 225
Density, Mg/m³: 15.57
Formation energy, meV/atom: 240

a b c (Å): 4.4107 4.4107 4.4107
angles (deg): 60.00 60.00 60.00
Sites, in units of the cell vectors:
Sn1 0.5000 0.5000 0.5000
Ga1 0.0000 0.0000 0.0000
Os1 0.7500 0.7500 0.7500
Os2 0.2500 0.2500 0.2500

---

5.
Below is a relaxed structure of TbGa3Os, with properties calculated at the GGA-PBEsol level.

Properties
Space-group type: No. 221
Density, Mg/m³: 10.84
Formation energy, meV/atom: -533

a b c (Å): 6.3536 6.3536 6.3536
angles (deg): 90.00 90.00 90.00
Sites, in units of the cell vectors:
Ga1 0.2898 0.2898 0.2898
Ga2 0.7102 0.7102 0.7102
Ga3 0.7102 0.2898 0.7102
Ga4 0.2898 0.7102 0.2898
Ga5 0.7102 0.7102 0.2898
Ga6 0.0000 0.0000 0.0000
Ga7 0.2898 0.2898 0.7102
Ga8 0.7102 0.2898 0.2898
Ga9 0.2898 0.7102 0.7102
Tb1 0.5000 0.0000 0.0000
Tb2 0.0000 0.0000 0.5000
Tb3 0.0000 0.5000 0.0000
Os1 0.0000 0.5000 0.5000
Os2 0.5000 0.0000 0.5000
Os3 0.5000 0.5000 0.0000

---

6.
Below is a relaxed structure of GaTe3Os, with properties calculated at the GGA-PBEsol level.

Properties
Space-group type: No. 221
Density, Mg/m³: 7.48
Uncorrected formation energy, eV per atom: 0.6785

a b c (Å): 5.2264 5.2264 5.2264
angles (deg): 90.00 90.00 90.00
Sites, in units of the cell vectors:
Te1 0.5000 0.0000 0.0000
Te2 0.0000 0.0000 0.5000
Te3 0.0000 0.5000 0.0000
Ga1 0.5000 0.5000 0.5000
Os1 0.0000 0.0000 0.0000

---

7.
Below is a relaxed structure of GaTe2OsW, with properties calculated at the GGA-PBEsol level.

Properties
Space-group type: No. 123
Density, Mg/m³: 10.10
Uncorrected formation energy, eV per atom: 1.9926

a b c (Å): 4.5166 5.0452 5.0452
angles (deg): 90.00 90.00 90.00
Sites, in units of the cell vectors:
Ga1 0.0000 0.0000 0.0000
Te1 0.0000 0.0000 0.5000
Te2 0.0000 0.5000 0.0000
W1 0.5000 0.5000 0.5000
Os1 0.5000 0.0000 0.0000

---

8.
Below is a relaxed structure of Tm2Ga10Os3, with properties calculated at the GGA-PBEsol level.

Properties
Space-group type: No. 127
Density, Mg/m³: 11.03
Formation energy, meV/atom: -470

a b c (Å): 6.2740 8.7805 8.7805
angles (deg): 90.00 90.00 90.00
Sites, in units of the cell vectors:
Ga1 0.2918 0.4388 0.2927
Ga2 0.2918 0.2073 0.0612
Ga3 0.7082 0.4388 0.2927
Ga4 0.2918 0.2927 0.5612
Ga5 0.7188 0.5000 0.0000
Ga6 0.7082 0.7073 0.4388
Ga7 0.2918 0.9388 0.2073
Ga8 0.2918 0.7073 0.4388
Ga9 0.7188 0.0000 0.5000
Ga10 0.7082 0.5612 0.7073
Ga11 0.2918 0.5612 0.7073
Ga12 0.7082 0.2073 0.0612
Ga13 0.2812 0.5000 0.0000
Ga14 0.7082 0.0612 0.7927
Ga15 0.7082 0.9388 0.2073
Ga16 0.2918 0.7927 0.9388
Ga17 0.2918 0.0612 0.7927
Ga18 0.7082 0.2927 0.5612
Ga19 0.2812 0.0000 0.5000
Ga20 0.7082 0.7927 0.9388
Os1 0.5000 0.1785 0.3215
Os2 0.0000 0.5000 0.5000
Os3 0.5000 0.6785 0.1785
Os4 0.5000 0.3215 0.8215
Os5 0.5000 0.8215 0.6785
Os6 0.0000 0.0000 0.0000
Tm1 0.0000 0.3170 0.8170
Tm2 0.0000 0.6830 0.1830
Tm3 0.0000 0.1830 0.3170
Tm4 0.0000 0.8170 0.6830

---

9.
Below is a relaxed structure of Tm2GaOs, with properties calculated at the GGA-PBEsol level.

Properties
Space-group type: No. 225
Density, Mg/m³: 12.79
Formation energy, meV/atom: -425

a b c (Å): 4.7874 4.7874 4.7874
angles (deg): 60.00 60.00 60.00
Sites, in units of the cell vectors:
Os1 0.0000 0.0000 0.0000
Tm1 0.7500 0.7500 0.7500
Tm2 0.2500 0.2500 0.2500
Ga1 0.5000 0.5000 0.5000

---

10.
Below is a relaxed structure of Ga3OsW, with properties calculated at the GGA-PBEsol level.

Properties
Space-group type: No. 221
Density, Mg/m³: 9.43
Formation energy, meV/atom: 1245

a b c (Å): 4.6832 4.6832 4.6832
angles (deg): 90.00 90.00 90.00
Sites, in units of the cell vectors:
Os1 0.0000 0.0000 0.0000
Ga1 0.0000 0.0000 0.5000
Ga2 0.0000 0.5000 0.0000
Ga3 0.5000 0.0000 0.0000
W1 0.5000 0.5000 0.5000

---

11.
Below is a relaxed structure of Y2GaOs2, with properties calculated at the GGA-PBEsol level.

Properties
Space-group type: No. 139
Density, Mg/m³: 9.46
Formation energy, meV/atom: 226

a b c (Å): 5.3511 5.3511 5.3511
angles (deg): 92.04 118.83 118.83
Sites, in units of the cell vectors:
Y1 0.5000 0.2500 0.7500
Y2 0.5000 0.7500 0.2500
Ga1 0.0000 0.0000 0.0000
Os1 0.0000 0.6654 0.6654
Os2 0.0000 0.3346 0.3346

---

12.
Below is a relaxed structure of YGaOs3, with properties calculated at the GGA-PBEsol level.

Properties
Space-group type: No. 221
Density, Mg/m³: 11.00
Formation energy, meV/atom: 2985

a b c (Å): 4.7935 4.7935 4.7935
angles (deg): 90.00 90.00 90.00
Sites, in units of the cell vectors:
Os1 0.5000 0.0000 0.0000
Os2 0.0000 0.0000 0.5000
Os3 0.0000 0.5000 0.0000
Ga1 0.5000 0.5000 0.5000
Y1 0.0000 0.0000 0.0000

---

13.
Below is a relaxed structure of Zr6Ga16Os7, with properties calculated at the GGA-PBEsol level.

Properties
Space-group type: No. 225
Density, Mg/m³: 10.69
Formation energy, meV/atom: -390

a b c (Å): 8.6959 8.6959 8.6959
angles (deg): 60.00 60.00 60.00
Sites, in units of the cell vectors:
Zr1 0.2819 0.7181 0.7181
Zr2 0.2819 0.2819 0.7181
Zr3 0.2819 0.7181 0.2819
Zr4 0.7181 0.7181 0.2819
Zr5 0.7181 0.2819 0.2819
Zr6 0.7181 0.2819 0.7181
Ga1 0.6551 0.0348 0.6551
Ga2 0.8765 0.3705 0.8765
Ga3 0.6551 0.6551 0.0348
Ga4 0.3449 0.3449 0.3449
Ga5 0.1235 0.1235 0.1235
Ga6 0.3449 0.3449 0.9652
Ga7 0.9652 0.3449 0.3449
Ga8 0.6551 0.6551 0.6551
Ga9 0.0348 0.6551 0.6551
Ga10 0.8765 0.8765 0.8765
Ga11 0.6295 0.1235 0.1235
Ga12 0.3705 0.8765 0.8765
Ga13 0.8765 0.8765 0.3705
Ga14 0.3449 0.9652 0.3449
Ga15 0.1235 0.6295 0.1235
Ga16 0.1235 0.1235 0.6295
Os1 0.5000 0.0000 0.5000
Os2 0.5000 0.5000 0.0000
Os3 0.0000 0.0000 0.5000
Os4 0.0000 0.5000 0.0000
Os5 0.0000 0.0000 0.0000
Os6 0.5000 0.0000 0.0000
Os7 0.0000 0.5000 0.5000

---

14.
Below is a relaxed structure of GaP, with properties calculated at the GGA-PBEsol level.

Properties
Excess energy over the best structure of this formula in the dataset, meV per atom: 8
Space-group type: No. 186
Density, Mg/m³: 4.17
Formation energy, meV/atom: -388

a b c (Å): 3.8287 3.8287 6.3124
angles (deg): 90.00 90.00 120.00
Sites, in units of the cell vectors:
Ga1 0.6667 0.3333 0.9999
Ga2 0.3333 0.6667 0.4999
P1 0.3333 0.6667 0.1260
P2 0.6667 0.3333 0.6260

---

15.
Below is a relaxed structure of GaP, with properties calculated at the GGA-PBEsol level.

Properties
Excess energy over the best structure of this formula in the dataset, meV per atom: 0
Space-group type: No. 216
Density, Mg/m³: 4.17
Formation energy, meV/atom: -397

a b c (Å): 3.8410 3.8410 3.8410
angles (deg): 60.00 60.00 60.00
Sites, in units of the cell vectors:
Ga1 0.0000 0.0000 0.0000
P1 0.2500 0.2500 0.2500

---

16.
Below is a relaxed structure of GaP3Pb, with properties calculated at the GGA-PBEsol level.

Properties
Space-group type: No. 221
Density, Mg/m³: 4.50
Formation energy, meV/atom: 1364

a b c (Å): 5.1469 5.1469 5.1469
angles (deg): 90.00 90.00 90.00
Sites, in units of the cell vectors:
Ga1 0.5000 0.5000 0.5000
P1 0.0000 0.5000 0.0000
P2 0.5000 0.0000 0.0000
P3 0.0000 0.0000 0.5000
Pb1 0.0000 0.0000 0.0000

---

17.
Below is a relaxed structure of GaPPdS2, with properties calculated at the GGA-PBEsol level.

Properties
Space-group type: No. 123
Density, Mg/m³: 4.35
Uncorrected formation energy, eV per atom: 0.4862

a b c (Å): 4.3682 4.8675 4.8675
angles (deg): 90.00 90.00 90.00
Sites, in units of the cell vectors:
Ga1 0.5000 0.5000 0.5000
P1 0.5000 0.0000 0.0000
S1 0.0000 0.5000 0.0000
S2 0.0000 0.0000 0.5000
Pd1 0.0000 0.0000 0.0000

---

18.
Below is a relaxed structure of GaPPtS2, with properties calculated at the GGA-PBEsol level.

Properties
Space-group type: No. 123
Density, Mg/m³: 6.47
Uncorrected formation energy, eV per atom: 0.9843

a b c (Å): 4.4958 4.4958 4.5713
angles (deg): 90.00 90.00 90.00
Sites, in units of the cell vectors:
S1 0.0000 0.5000 0.0000
S2 0.5000 0.0000 0.0000
P1 0.0000 0.0000 0.5000
Ga1 0.0000 0.0000 0.0000
Pt1 0.5000 0.5000 0.5000

---

19.
Below is a relaxed structure of RbGaPS2, with properties calculated at the GGA-PBEsol level.

Properties
Space-group type: No. 123
Density, Mg/m³: 3.65
Uncorrected formation energy, eV per atom: 0.0062

a b c (Å): 4.6601 4.9451 4.9451
angles (deg): 90.00 90.00 90.00
Sites, in units of the cell vectors:
Rb1 0.5000 0.5000 0.5000
S1 0.0000 0.5000 0.0000
S2 0.0000 0.0000 0.5000
Ga1 0.0000 0.0000 0.0000
P1 0.5000 0.0000 0.0000

---

20.
Below is a relaxed structure of RbGaTeP2, with properties calculated at the GGA-PBEsol level.

Properties
Space-group type: No. 123
Density, Mg/m³: 4.35
Uncorrected formation energy, eV per atom: 0.5600

a b c (Å): 4.7644 4.7644 5.8002
angles (deg): 90.00 90.00 90.00
Sites, in units of the cell vectors:
Ga1 0.0000 0.0000 0.0000
P1 0.5000 0.0000 0.0000
P2 0.0000 0.5000 0.0000
Rb1 0.0000 0.0000 0.5000
Te1 0.5000 0.5000 0.5000